# BeReSe2N | the Alexandria database | PBE-GGA | optimized geometry
# excess energy over the best structure of this formula in the dataset	0	meV/atom
# spin magnetization	0.000	μB/cell
# calculated volume	18.76	Å³/atom
data_BeReSe2N
_cell_length_a 5.028
_cell_length_b 5.028
_cell_length_c 3.711
_cell_angle_alpha 90.00
_cell_angle_beta 90.00
_cell_angle_gamma 90.00
_space_group_name_H-M_alt 'P 1'
_space_group_IT_number 1
_space_group_name_Hall 'P 1'
loop_
_atom_site_label
_atom_site_fract_x
_atom_site_fract_y
_atom_site_fract_z
Be1 0.000 0.000 0.000
Re1 0.500 0.500 0.500
Se1 0.000 0.500 0.500
Se2 0.500 0.000 0.500
N1 0.500 0.500 0.000

=====

# Ac2SBrF2 | the Alexandria database | PBE-GGA | optimized geometry
# spin magnetization	0.000	μB/cell
# calculated total energy	-35.09	eV for the cell shown
# calculated volume	23.10	Å³/atom
data_Ac2SBrF2
_cell_length_a 4.316
_cell_length_b 4.316
_cell_length_c 8.591
_cell_angle_alpha 90.00
_cell_angle_beta 90.00
_cell_angle_gamma 120.00
_space_group_name_H-M_alt 'P 1'
_space_group_IT_number 1
_space_group_name_Hall 'P 1'
loop_
_atom_site_label
_atom_site_fract_x
_atom_site_fract_y
_atom_site_fract_z
Ac1 0.333 0.667 0.214
Ac2 0.667 0.333 0.786
S1 0.000 0.000 0.000
Br1 0.000 0.000 0.500
F1 0.333 0.667 0.739
F2 0.667 0.333 0.261

=====

# LaPr2Nd2Er | the Alexandria database | PBE-GGA | optimized geometry
# energy relative to the elements	52	meV per atom
# spin magnetization	0.000	μB/cell
# calculated volume	35.06	Å³/atom
data_LaPr2Nd2Er
_cell_length_a 7.179
_cell_length_b 5.820
_cell_length_c 10.070
_cell_angle_alpha 90.00
_cell_angle_beta 90.00
_cell_angle_gamma 90.00
_space_group_name_H-M_alt 'P 1'
_space_group_IT_number 1
_space_group_name_Hall 'P 1'
loop_
_atom_site_label
_atom_site_fract_x
_atom_site_fract_y
_atom_site_fract_z
La1 0.000 0.000 0.000
La2 0.500 0.000 0.000
Pr1 0.000 0.500 0.500
Pr2 0.250 0.000 0.330
Pr3 0.500 0.500 0.500
Pr4 0.750 0.000 0.670
Nd1 0.250 0.000 0.665
Nd2 0.250 0.500 0.169
Nd3 0.750 0.000 0.335
Nd4 0.750 0.500 0.831
Er1 0.250 0.500 0.835
Er2 0.750 0.500 0.165

=====

# Ce2Pu3ScAs6 | the Alexandria database | PBE-GGA | optimized geometry
# energy relative to the elements	-1205	meV per atom
# spin magnetization	16.696	μB/cell
# calculated volume	24.88	Å³/atom
data_Ce2Pu3ScAs6
_cell_length_a 9.216
_cell_length_b 9.216
_cell_length_c 8.237
_cell_angle_alpha 102.70
_cell_angle_beta 102.70
_cell_angle_gamma 25.97
_space_group_name_H-M_alt 'P 1'
_space_group_IT_number 1
_space_group_name_Hall 'P 1'
loop_
_atom_site_label
_atom_site_fract_x
_atom_site_fract_y
_atom_site_fract_z
Ce1 0.164 0.164 0.330
Ce2 0.836 0.836 0.670
Pu1 0.168 0.168 0.835
Pu2 0.500 0.500 0.500
Pu3 0.832 0.832 0.165
Sc1 0.500 0.500 0.000
As1 0.003 0.003 0.760
As2 0.333 0.333 0.414
As3 0.338 0.338 0.922
As4 0.662 0.662 0.078
As5 0.667 0.667 0.586
As6 0.997 0.997 0.240

=====

# FePtAu | the Alexandria database | PBE-GGA | optimized geometry
# energy relative to the elements	-56	meV per atom
# excess energy over the best structure of this formula in the dataset	4	meV/atom
# spin magnetization	6.849	μB/cell
# calculated volume	15.46	Å³/atom
data_FePtAu
_cell_length_a 2.822
_cell_length_b 3.786
_cell_length_c 8.681
_cell_angle_alpha 90.00
_cell_angle_beta 90.00
_cell_angle_gamma 90.00
_space_group_name_H-M_alt 'P 1'
_space_group_IT_number 1
_space_group_name_Hall 'P 1'
loop_
_atom_site_label
_atom_site_fract_x
_atom_site_fract_y
_atom_site_fract_z
Fe1 0.000 0.000 0.000
Fe2 0.500 0.500 0.500
Pt1 0.000 0.000 0.647
Pt2 0.500 0.500 0.147
Au1 0.000 0.000 0.329
Au2 0.500 0.500 0.829

=====

# HfScNb | the Alexandria database | PBE-GGA | optimized geometry
# energy relative to the elements	123	meV per atom
# excess energy over the best structure of this formula in the dataset	79	meV/atom
# spin magnetization	0.000	μB/cell
# calculated volume	21.46	Å³/atom
data_HfScNb
_cell_length_a 3.619
_cell_length_b 3.619
_cell_length_c 9.835
_cell_angle_alpha 90.00
_cell_angle_beta 90.00
_cell_angle_gamma 90.00
_space_group_name_H-M_alt 'P 1'
_space_group_IT_number 1
_space_group_name_Hall 'P 1'
loop_
_atom_site_label
_atom_site_fract_x
_atom_site_fract_y
_atom_site_fract_z
Hf1 0.000 0.000 0.000
Hf2 0.500 0.500 0.500
Sc1 0.000 0.000 0.307
Sc2 0.500 0.500 0.807
Nb1 0.000 0.000 0.624
Nb2 0.500 0.500 0.124